Entry 1:
Crystalline Sb2TeAsS at its relaxed geometry, computed with GGA-PBE.

Cell: 5.374 5.374 5.386 Å, 90.00 90.00 90.00°
Space group P4/mmm (No. 123)
Unique sites:
Sb1 0.000 0.500 0.000 [2 per cell]
Te1 0.000 0.000 0.500 [1 per cell]
As1 0.000 0.000 0.000 [1 per cell]
S1 0.500 0.500 0.500 [1 per cell]

Computed properties:
The energy above the most stable polymorph in this dataset comes out at 175.7 meV/atom.

***

Entry 2:
Crystalline Sb2TeAsS at its relaxed geometry, computed with GGA-PBE.

Cell: 5.241 5.241 5.143 Å, 90.00 90.00 90.00°
Space group P4/mmm (No. 123)
Unique sites:
Sb1 0.000 0.500 0.000 [2 per cell]
Te1 0.000 0.000 0.500 [1 per cell]
As1 0.500 0.500 0.500 [1 per cell]
S1 0.000 0.000 0.000 [1 per cell]

Computed properties:
The energy above the most stable polymorph in this dataset comes out at 0.0 meV/atom.

***

Entry 3:
Crystalline SbTe2AsS at its relaxed geometry, computed with GGA-PBE.

Cell: 5.404 5.404 5.387 Å, 90.00 90.00 90.00°
Space group P4/mmm (No. 123)
Unique sites:
Sb1 0.000 0.000 0.000 [1 per cell]
Te1 0.000 0.500 0.500 [2 per cell]
As1 0.000 0.000 0.500 [1 per cell]
S1 0.500 0.500 0.000 [1 per cell]

Computed properties:
The energy above the most stable polymorph in this dataset comes out at 164.2 meV/atom.

***

Entry 4:
Crystalline SbTe2AsS at its relaxed geometry, computed with GGA-PBE.

Cell: 5.175 5.175 5.297 Å, 90.00 90.00 90.00°
Space group P4/mmm (No. 123)
Unique sites:
Sb1 0.000 0.000 0.000 [1 per cell]
Te1 0.000 0.500 0.500 [2 per cell]
As1 0.500 0.500 0.000 [1 per cell]
S1 0.000 0.000 0.500 [1 per cell]

Computed properties:
The energy above the most stable polymorph in this dataset comes out at 0.0 meV/atom.

***

Entry 5:
Crystalline Th4Sb2AsS at its relaxed geometry, computed with GGA-PBE.

Cell: 7.473 4.309 7.558 Å, 90.00 109.22 90.00°
Space group P2/m (No. 10)
Unique sites:
Th1 0.233 0.000 0.218 [2 per cell]
Th2 0.252 0.500 0.779 [2 per cell]
Sb1 0.000 0.000 0.500 [1 per cell]
Sb2 0.500 0.500 0.500 [1 per cell]
As1 0.500 0.000 0.000 [1 per cell]
S1 0.000 0.500 0.000 [1 per cell]

Computed properties:
For the total energy, the calculation gives -56.65 eV per cell.

***

Entry 6:
Crystalline Th6SbAs3S2 at its relaxed geometry, computed with GGA-PBE.

Cell: 18.427 4.249 8.442 Å, 90.00 103.30 90.00°
Space group C2/m (No. 12)
Unique sites:
Th1 0.006 0.000 0.268 [4 per cell]
Th2 0.169 0.500 0.579 [4 per cell]
Th3 0.174 0.500 0.094 [4 per cell]
Sb1 0.000 0.500 0.000 [2 per cell]
As1 0.000 0.500 0.500 [2 per cell]
As2 0.162 0.000 0.832 [4 per cell]
S1 0.169 0.000 0.335 [4 per cell]

Computed properties:
For the total energy, the calculation gives -175.80 eV per cell.

***

Entry 7:
Crystalline Tl5Sb10As3S22 at its relaxed geometry, computed with GGA-PBE.

Cell: 7.782 8.896 18.030 Å, 103.33 90.71 111.30°
Space group P1 (No. 1)
Unique sites:
Tl1 0.000 0.000 0.000 [1 per cell]
Tl2 0.000 0.426 0.837 [1 per cell]
Tl3 0.409 0.741 0.205 [1 per cell]
Tl4 0.524 0.313 0.408 [1 per cell]
Tl5 0.895 0.825 0.639 [1 per cell]
Sb1 0.047 0.289 0.421 [1 per cell]
Sb2 0.049 0.744 0.417 [1 per cell]
Sb3 0.377 0.852 0.627 [1 per cell]
Sb4 0.460 0.247 0.818 [1 per cell]
Sb5 0.512 0.851 0.835 [1 per cell]
Sb6 0.515 0.133 0.037 [1 per cell]
Sb7 0.608 0.861 0.437 [1 per cell]
Sb8 0.793 0.265 0.608 [1 per cell]
Sb9 0.904 0.288 0.211 [1 per cell]
Sb10 0.944 0.892 0.234 [1 per cell]
As1 0.371 0.396 0.640 [1 per cell]
As2 0.485 0.610 0.984 [1 per cell]
As3 0.951 0.514 0.050 [1 per cell]
S1 0.093 0.791 0.114 [1 per cell]
S2 0.116 0.400 0.109 [1 per cell]
S3 0.147 0.166 0.216 [1 per cell]
S4 0.154 0.522 0.343 [1 per cell]
S5 0.200 0.930 0.330 [1 per cell]
S6 0.217 0.217 0.713 [1 per cell]
S7 0.253 0.953 0.814 [1 per cell]
S8 0.281 0.609 0.703 [1 per cell]
S9 0.290 0.333 0.928 [1 per cell]
S10 0.314 0.748 0.938 [1 per cell]
S11 0.487 0.095 0.537 [1 per cell]
S12 0.505 0.677 0.532 [1 per cell]
S13 0.666 0.029 0.711 [1 per cell]
S14 0.669 0.485 0.692 [1 per cell]
S15 0.679 0.013 0.112 [1 per cell]
S16 0.682 0.441 0.108 [1 per cell]
S17 0.707 0.150 0.930 [1 per cell]
S18 0.709 0.650 0.908 [1 per cell]
S19 0.736 0.642 0.352 [1 per cell]
S20 0.766 0.111 0.331 [1 per cell]
S21 0.906 0.455 0.512 [1 per cell]
S22 0.917 0.032 0.507 [1 per cell]

Computed properties:
For the total energy, the calculation gives -168.99 eV per cell.

***

Entry 8:
Crystalline Tl2SbAsS4 at its relaxed geometry, computed with GGA-PBE.

Cell: 8.110 8.336 11.631 Å, 90.00 90.00 90.00°
Space group Imma (No. 74)
Unique sites:
Tl1 0.000 0.000 0.000 [4 per cell]
Tl2 0.250 0.250 0.250 [4 per cell]
Sb1 0.000 0.000 0.500 [4 per cell]
As1 0.250 0.250 0.750 [4 per cell]
S1 0.000 0.039 0.739 [8 per cell]
S2 0.228 0.250 0.520 [8 per cell]

Computed properties:
For the total energy, the calculation gives -126.58 eV per cell.

***

Entry 9:
Crystalline Tm6SbAs2S3 at its relaxed geometry, computed with GGA-PBE.

Cell: 17.445 4.011 8.006 Å, 90.00 102.87 90.00°
Space group C2/m (No. 12)
Unique sites:
Tm1 0.000 0.000 0.230 [4 per cell]
Tm2 0.167 0.500 0.083 [4 per cell]
Tm3 0.174 0.500 0.588 [4 per cell]
Sb1 0.000 0.500 0.500 [2 per cell]
As1 0.167 0.000 0.833 [4 per cell]
S1 0.000 0.500 0.000 [2 per cell]
S2 0.165 0.000 0.332 [4 per cell]

Computed properties:
For the total energy, the calculation gives -144.46 eV per cell.

***

Entry 10:
Crystalline Tm6SbAs3S2 at its relaxed geometry, computed with GGA-PBE.

Cell: 17.607 4.053 8.100 Å, 90.00 103.19 90.00°
Space group C2/m (No. 12)
Unique sites:
Tm1 0.002 0.000 0.265 [4 per cell]
Tm2 0.167 0.500 0.585 [4 per cell]
Tm3 0.173 0.500 0.086 [4 per cell]
Sb1 0.000 0.500 0.000 [2 per cell]
As1 0.000 0.500 0.500 [2 per cell]
As2 0.165 0.000 0.831 [4 per cell]
S1 0.170 0.000 0.338 [4 per cell]

Computed properties:
For the total energy, the calculation gives -144.00 eV per cell.

***

Entry 11:
Crystalline Tm4Sb2AsS at its relaxed geometry, computed with GGA-PBE.

Cell: 7.160 4.140 7.224 Å, 90.00 109.27 90.00°
Space group P2/m (No. 10)
Unique sites:
Tm1 0.244 0.000 0.231 [2 per cell]
Tm2 0.256 0.500 0.769 [2 per cell]
Sb1 0.000 0.000 0.500 [1 per cell]
Sb2 0.500 0.500 0.500 [1 per cell]
As1 0.000 0.500 0.000 [1 per cell]
S1 0.500 0.000 0.000 [1 per cell]

Computed properties:
For the total energy, the calculation gives -45.90 eV per cell.

***

Entry 12:
Crystalline Y4Sb2AsS at its relaxed geometry, computed with GGA-PBE.

Cell: 7.268 4.203 7.331 Å, 90.00 109.27 90.00°
Space group P2/m (No. 10)
Unique sites:
Y1 0.244 0.000 0.232 [2 per cell]
Y2 0.256 0.500 0.768 [2 per cell]
Sb1 0.000 0.000 0.500 [1 per cell]
Sb2 0.500 0.500 0.500 [1 per cell]
As1 0.000 0.500 0.000 [1 per cell]
S1 0.500 0.000 0.000 [1 per cell]

Computed properties:
For the total energy, the calculation gives -54.54 eV per cell.

***

Entry 13:
Crystalline Y6SbAs3S2 at its relaxed geometry, computed with GGA-PBE.

Cell: 17.900 4.117 8.232 Å, 90.00 103.24 90.00°
Space group C2/m (No. 12)
Unique sites:
Y1 0.002 0.000 0.264 [4 per cell]
Y2 0.167 0.500 0.585 [4 per cell]
Y3 0.172 0.500 0.086 [4 per cell]
Sb1 0.000 0.500 0.000 [2 per cell]
As1 0.000 0.500 0.500 [2 per cell]
As2 0.165 0.000 0.831 [4 per cell]
S1 0.170 0.000 0.338 [4 per cell]

Computed properties:
For the total energy, the calculation gives -169.54 eV per cell.

***

Entry 14:
Crystalline Sc6AsS5 at its relaxed geometry, computed with GGA-PBE.

Cell: 6.440 11.166 6.458 Å, 90.00 109.37 90.00°
Space group C2/m (No. 12)
Unique sites:
Sc1 0.246 0.168 0.245 [8 per cell]
Sc2 0.248 0.000 0.755 [4 per cell]
As1 0.000 0.500 0.500 [2 per cell]
S1 0.000 0.000 0.000 [2 per cell]
S2 0.000 0.167 0.500 [4 per cell]
S3 0.000 0.334 0.000 [4 per cell]

Computed properties:
For the total energy, the calculation gives -169.64 eV per cell.

***

Entry 15:
Crystalline Sc3AsS at its relaxed geometry, computed with GGA-PBE.

Cell: 7.118 3.795 14.212 Å, 90.00 90.00 90.00°
Space group Pnma (No. 62)
Unique sites:
Sc1 0.002 0.250 0.102 [4 per cell]
Sc2 0.141 0.250 0.561 [4 per cell]
Sc3 0.165 0.750 0.278 [4 per cell]
As1 0.119 0.750 0.702 [4 per cell]
S1 0.240 0.250 0.953 [4 per cell]

Computed properties:
The energy above the most stable polymorph in this dataset comes out at 0.0 meV/atom.

***

Entry 16:
Crystalline Sc2AsS at its relaxed geometry, computed with GGA-PBE.

Cell: 5.918 5.918 11.918 Å, 90.00 90.00 90.00°
Space group I-42d (No. 122)
Unique sites:
Sc1 0.239 0.250 0.125 [8 per cell]
As1 0.000 0.000 0.500 [4 per cell]
S1 0.000 0.000 0.000 [4 per cell]

Computed properties:
The energy above the most stable polymorph in this dataset comes out at 420.0 meV/atom.

***

Entry 17:
Crystalline Sc8AsS2 at its relaxed geometry, computed with GGA-PBE.

Cell: 7.807 11.322 5.360 Å, 90.00 103.57 90.00°
Space group Cm (No. 8)
Unique sites:
Sc1 0.000 0.000 0.000 [2 per cell]
Sc2 0.080 0.372 0.808 [4 per cell]
Sc3 0.157 0.129 0.565 [4 per cell]
Sc4 0.265 0.500 0.383 [2 per cell]
Sc5 0.373 0.234 0.189 [4 per cell]
As1 0.402 0.000 0.371 [2 per cell]
S1 0.369 0.310 0.691 [4 per cell]

Computed properties:
For the total energy, the calculation gives -143.46 eV per cell.

***

Entry 18:
Crystalline Sc5As4S at its relaxed geometry, computed with GGA-PBE.

Cell: 3.842 5.439 19.236 Å, 90.00 90.00 90.00°
Space group Immm (No. 71)
Unique sites:
Sc1 0.000 0.000 0.000 [2 per cell]
Sc2 0.000 0.000 0.200 [4 per cell]
Sc3 0.000 0.000 0.401 [4 per cell]
As1 0.000 0.500 0.198 [4 per cell]
As2 0.000 0.500 0.401 [4 per cell]
S1 0.000 0.500 0.000 [2 per cell]

Computed properties:
For the total energy, the calculation gives -138.66 eV per cell.

***

Entry 19:
Crystalline Sc2AsS at its relaxed geometry, computed with GGA-PBE.

Cell: 4.5383 4.5383 5.2940 Å, 90.00 90.00 120.00°
Space group P-6m2 (No. 187)
Unique sites:
Sc1 0.0000 0.0000 0.0000 [1 per cell]
Sc2 0.3333 0.6667 0.5000 [1 per cell]
As1 0.0000 0.0000 0.5000 [1 per cell]
S1 0.3333 0.6667 0.0000 [1 per cell]

Computed properties:
The energy above the most stable polymorph in this dataset comes out at 212.5 meV/atom.

***

Entry 20:
Crystalline Sc8As3S4 at its relaxed geometry, computed with GGA-PBE.

Cell: 10.603 10.609 7.479 Å, 90.00 134.79 90.00°
Space group C2/m (No. 12)
Unique sites:
Sc1 0.000 0.245 0.000 [4 per cell]
Sc2 0.000 0.249 0.500 [4 per cell]
Sc3 0.242 0.000 0.488 [4 per cell]
Sc4 0.243 0.000 0.995 [4 per cell]
As1 0.000 0.500 0.500 [2 per cell]
As2 0.250 0.250 0.000 [4 per cell]
S1 0.000 0.000 0.000 [2 per cell]
S2 0.000 0.000 0.500 [2 per cell]
S3 0.250 0.250 0.500 [4 per cell]

Computed properties:
For the total energy, the calculation gives -208.71 eV per cell.

***

Computed calculated volume (Å³/atom) in order:
31.1, 28.3, 31.5, 28.4, 28.7, 26.8, 28.1, 24.6, 22.8, 23.4, 25.3, 26.4, 24.6, 18.3, 19.2, 26.1, 20.9, 20.1, 23.6, 19.9